Here is crystalline Cd2BiAu at its relaxed geometry from Alexandria. Energies are from GGA-PBE.

Geometry as extended XYZ:
```
16
Lattice="4.4536 0.0000 0.0000 0.0000 4.4536 0.0000 0.0000 0.0000 20.4448" Properties=species:S:1:pos:R:3 pbc="T T T"
Cd 0.9670 1.1134 2.5556
Cd 1.1134 3.1938 7.6668
Cd 1.1134 3.4866 17.8892
Cd 1.2598 1.1134 12.7780
Cd 3.1938 3.3402 12.7780
Cd 3.3402 0.9670 17.8892
Cd 3.3402 1.2598 7.6668
Cd 3.4866 3.3402 2.5556
Bi 0.0000 0.0000 10.2224
Bi 0.0000 2.2268 15.3336
Bi 2.2268 0.0000 5.1112
Bi 2.2268 2.2268 0.0000
Au 0.0000 0.0000 0.0000
Au 0.0000 2.2268 5.1112
Au 2.2268 0.0000 15.3336
Au 2.2268 2.2268 10.2224
```

Output
Formation enthalpy at 0 K in eV per atom: 0.0220
Raw total energy in eV per cell: -35.601
ρ in g/cm³: 10.3
Total moment in μB/f.u.: 0.00



Here is crystalline Cd4BiAu2 at its relaxed geometry from Alexandria. Energies are from GGA-PBE.

Geometry as extended XYZ:
```
7
Lattice="2.2866 1.3201 9.8323 -2.2866 1.3201 9.8323 0.0000 -2.6403 9.8323" Properties=species:S:1:pos:R:3 pbc="T T T"
Cd 0.0000 0.0000 3.0971
Cd 0.0000 0.0000 8.9181
Cd 0.0000 0.0000 20.5788
Cd 0.0000 0.0000 26.3998
Bi 0.0000 0.0000 14.7484
Au 0.0000 0.0000 11.7618
Au 0.0000 0.0000 17.7351
```

Output
Formation enthalpy at 0 K in eV per atom: -0.0886
Raw total energy in eV per cell: -14.717
ρ in g/cm³: 9.8
Total moment in μB/f.u.: 0.00



Here is crystalline Cd2Bi2Au at its relaxed geometry from Alexandria. Energies are from GGA-PBE.

Geometry as extended XYZ:
```
10
Lattice="3.9965 0.0000 0.0000 0.0000 3.9965 0.0000 0.0000 0.0000 16.9445" Properties=species:S:1:pos:R:3 pbc="T T T"
Cd 0.0000 1.9982 4.2361
Cd 0.0000 1.9982 12.7084
Cd 1.9982 0.0000 4.2361
Cd 1.9982 0.0000 12.7084
Bi 0.0000 0.0000 1.6139
Bi 0.0000 0.0000 15.3306
Bi 1.9982 1.9982 6.8584
Bi 1.9982 1.9982 10.0862
Au 0.0000 0.0000 8.4723
Au 1.9982 1.9982 0.0000
```

Output
Formation enthalpy at 0 K in eV per atom: 0.1687
Raw total energy in eV per cell: -24.052
ρ in g/cm³: 10.3
Total moment in μB/f.u.: 0.00
ΔE to the lowest computed polymorph in eV/atom: 0.0690



Here is crystalline CsCd2BiAu at its relaxed geometry from Alexandria. Energies are from GGA-PBE.

Geometry as extended XYZ:
```
5
Lattice="5.4354 0.0000 0.0000 0.0000 5.4354 0.0000 0.0000 0.0000 5.9259" Properties=species:S:1:pos:R:3 pbc="T T T"
Cs 0.0000 0.0000 0.0000
Cd 0.0000 2.7177 2.9630
Cd 2.7177 0.0000 2.9630
Bi 2.7177 2.7177 0.0000
Au 2.7177 2.7177 2.9630
```

Output
Formation enthalpy at 0 K in eV per atom: -0.0385
Raw total energy in eV per cell: -10.034
ρ in g/cm³: 7.2
Total moment in μB/f.u.: 0.00



Here is crystalline Cs2CdBiAu at its relaxed geometry from Alexandria. Energies are from GGA-PBE.

Geometry as extended XYZ:
```
5
Lattice="7.0433 0.0000 0.0000 0.0000 7.0433 0.0000 0.0000 0.0000 5.4469" Properties=species:S:1:pos:R:3 pbc="T T T"
Cs 0.0000 3.5216 0.0000
Cs 3.5216 0.0000 0.0000
Cd 0.0000 0.0000 2.7235
Bi 3.5216 3.5216 2.7235
Au 3.5216 3.5216 0.0000
```

Output
Formation enthalpy at 0 K in eV per atom: -0.1148
Raw total energy in eV per cell: -10.354
ρ in g/cm³: 4.8
Total moment in μB/f.u.: 0.00



Here is crystalline CsCdBiAu3 at its relaxed geometry from Alexandria. Energies are from GGA-PBE.

Geometry as extended XYZ:
```
12
Lattice="3.6203 -7.2389 0.0000 3.6203 7.2389 0.0000 0.0000 0.0000 7.5777" Properties=species:S:1:pos:R:3 pbc="T T T"
Cs 3.6203 3.9376 5.6832
Cs 3.6203 -3.9376 1.8944
Cd 3.6203 5.6608 1.8944
Cd 3.6203 -5.6608 5.6832
Bi 3.6203 0.2056 1.8944
Bi 3.6203 -0.2056 5.6832
Au 1.4056 0.0000 0.0000
Au 1.4056 0.0000 3.7888
Au 3.6203 2.9734 1.8944
Au 3.6203 -2.9734 5.6832
Au 5.8351 0.0000 0.0000
Au 5.8351 0.0000 3.7888
```

Output
Formation enthalpy at 0 K in eV per atom: -0.1774
Raw total energy in eV per cell: -33.092
ρ in g/cm³: 8.7
Total moment in μB/f.u.: 0.00



Here is crystalline ErCdBiAu at its relaxed geometry from Alexandria. Energies are from GGA-PBE.

Geometry as extended XYZ:
```
16
Lattice="7.3396 0.0000 0.0000 0.0000 7.3396 0.0000 0.0000 0.0000 7.3396" Properties=species:S:1:pos:R:3 pbc="T T T"
Er 0.0000 0.0000 0.0000
Er 0.0000 3.6698 3.6698
Er 3.6698 0.0000 3.6698
Er 3.6698 3.6698 0.0000
Cd 0.0000 0.0000 3.6698
Cd 0.0000 3.6698 0.0000
Cd 3.6698 0.0000 0.0000
Cd 3.6698 3.6698 3.6698
Bi 1.8349 1.8349 1.8349
Bi 1.8349 5.5047 5.5047
Bi 5.5047 1.8349 5.5047
Bi 5.5047 5.5047 1.8349
Au 1.8349 1.8349 5.5047
Au 1.8349 5.5047 1.8349
Au 5.5047 1.8349 1.8349
Au 5.5047 5.5047 5.5047
```

Output
Formation enthalpy at 0 K in eV per atom: -0.3411
Raw total energy in eV per cell: -56.003
ρ in g/cm³: 11.5
Total moment in μB/f.u.: 0.00



Here is crystalline GdCdBiAu at its relaxed geometry from Alexandria. Energies are from GGA-PBE.

Geometry as extended XYZ:
```
16
Lattice="7.4038 0.0000 0.0000 0.0000 7.4038 0.0000 0.0000 0.0000 7.4038" Properties=species:S:1:pos:R:3 pbc="T T T"
Gd 0.0000 0.0000 0.0000
Gd 0.0000 3.7019 3.7019
Gd 3.7019 0.0000 3.7019
Gd 3.7019 3.7019 0.0000
Cd 0.0000 0.0000 3.7019
Cd 0.0000 3.7019 0.0000
Cd 3.7019 0.0000 0.0000
Cd 3.7019 3.7019 3.7019
Bi 1.8510 1.8510 5.5529
Bi 1.8510 5.5529 1.8510
Bi 5.5529 1.8510 1.8510
Bi 5.5529 5.5529 5.5529
Au 1.8510 1.8510 1.8510
Au 1.8510 5.5529 5.5529
Au 5.5529 1.8510 5.5529
Au 5.5529 5.5529 1.8510
```

Output
Formation enthalpy at 0 K in eV per atom: -0.4132
Raw total energy in eV per cell: -95.228
ρ in g/cm³: 11.1
Total moment in μB/f.u.: 7.02



Here is crystalline HoCdBiAu at its relaxed geometry from Alexandria. Energies are from GGA-PBE.

Geometry as extended XYZ:
```
16
Lattice="7.3528 0.0000 0.0000 0.0000 7.3528 0.0000 0.0000 0.0000 7.3528" Properties=species:S:1:pos:R:3 pbc="T T T"
Ho 0.0000 0.0000 0.0000
Ho 0.0000 3.6764 3.6764
Ho 3.6764 0.0000 3.6764
Ho 3.6764 3.6764 0.0000
Cd 0.0000 0.0000 3.6764
Cd 0.0000 3.6764 0.0000
Cd 3.6764 0.0000 0.0000
Cd 3.6764 3.6764 3.6764
Bi 1.8382 1.8382 1.8382
Bi 1.8382 5.5146 5.5146
Bi 5.5146 1.8382 5.5146
Bi 5.5146 5.5146 1.8382
Au 1.8382 1.8382 5.5146
Au 1.8382 5.5146 1.8382
Au 5.5146 1.8382 1.8382
Au 5.5146 5.5146 5.5146
```

Output
Formation enthalpy at 0 K in eV per atom: -0.3525
Raw total energy in eV per cell: -56.244
ρ in g/cm³: 11.4
Total moment in μB/f.u.: 0.00



Here is crystalline CdInBiAu at its relaxed geometry from Alexandria. Energies are from GGA-PBE.

Geometry as extended XYZ:
```
16
Lattice="7.3607 0.0000 0.0000 0.0000 7.3607 0.0000 0.0000 0.0000 7.3607" Properties=species:S:1:pos:R:3 pbc="T T T"
Cd 0.0000 0.0000 0.0000
Cd 0.0000 3.6803 3.6803
Cd 3.6803 0.0000 3.6803
Cd 3.6803 3.6803 0.0000
In 1.8402 1.8402 1.8402
In 1.8402 5.5205 5.5205
In 5.5205 1.8402 5.5205
In 5.5205 5.5205 1.8402
Bi 1.8402 1.8402 5.5205
Bi 1.8402 5.5205 1.8402
Bi 5.5205 1.8402 1.8402
Bi 5.5205 5.5205 5.5205
Au 0.0000 0.0000 3.6803
Au 0.0000 3.6803 0.0000
Au 3.6803 0.0000 0.0000
Au 3.6803 3.6803 3.6803
```

Output
Formation enthalpy at 0 K in eV per atom: 0.0552
Raw total energy in eV per cell: -42.365
ρ in g/cm³: 10.5
Total moment in μB/f.u.: 0.00



Here is crystalline CdIn2Bi2Au7 at its relaxed geometry from Alexandria. Energies are from GGA-PBE.

Geometry as extended XYZ:
```
12
Lattice="2.9583 -2.9632 0.0000 2.9583 2.9632 0.0000 -1.0840 0.0000 15.5904" Properties=species:S:1:pos:R:3 pbc="T T T"
Cd 0.0000 0.0000 0.0000
In 1.7989 0.0000 11.5150
In 3.0337 0.0000 4.0755
Bi 0.3752 0.0000 6.1068
Bi 4.4573 0.0000 9.4837
Au 1.5110 1.4704 2.1583
Au 1.3878 0.0000 8.8021
Au 3.3215 1.4704 13.4322
Au 2.9583 0.0000 0.0000
Au 1.5110 -1.4704 2.1583
Au 3.4448 0.0000 6.7883
Au 3.3215 -1.4704 13.4322
```

Output
Formation enthalpy at 0 K in eV per atom: -0.0576
Raw total energy in eV per cell: -37.786
ρ in g/cm³: 13.0
Total moment in μB/f.u.: 0.00



Here is crystalline K2Cd3BiAu4 at its relaxed geometry from Alexandria. Energies are from GGA-PBE.

Geometry as extended XYZ:
```
10
Lattice="4.8619 0.0000 0.0000 0.0000 4.8619 0.0000 0.0000 0.0000 11.5899" Properties=species:S:1:pos:R:3 pbc="T T T"
K 0.0000 2.4310 2.7473
K 2.4310 0.0000 8.8426
Cd 0.0000 2.4310 10.1359
Cd 2.4310 0.0000 1.4540
Cd 2.4310 2.4310 5.7950
Bi 0.0000 0.0000 5.7950
Au 0.0000 0.0000 0.0000
Au 0.0000 2.4310 7.3824
Au 2.4310 0.0000 4.2075
Au 2.4310 2.4310 0.0000
```

Output
Formation enthalpy at 0 K in eV per atom: -0.2297
Raw total energy in eV per cell: -24.228
ρ in g/cm³: 8.6
Total moment in μB/f.u.: 0.00